# LiNiPt (PBE, optimized geometry)
# ΔH_f (0 K) in meV per atom: -234
# ρ in g cm⁻³: 11.1
# Total magnetization in μB per formula unit: 0.9
# Excess energy over the best structure of this formula in the dataset in eV/atom: 0.000
# Total DFT energy (no corrections) in eV per atom: -4.8130
data_LiNiPt
_chemical_formula_sum 'Li1 Ni1 Pt1'
_symmetry_space_group_name_H-M 'P 1'
_symmetry_Int_Tables_number 1
_cell_length_a 4.483
_cell_length_b 4.483
_cell_length_c 4.483
_cell_angle_alpha 145.35
_cell_angle_beta 129.64
_cell_angle_gamma 62.57
loop_
_symmetry_equiv_pos_as_xyz
'x,y,z'
loop_
_atom_site_label
_atom_site_type_symbol
_atom_site_fract_x
_atom_site_fract_y
_atom_site_fract_z
Pt1 Pt 0.670 0.670 0.000
Ni1 Ni 0.329 0.329 0.000
Li1 Li 0.001 0.001 0.000